<w>
MnFeSb2 | PBE | relaxed

## Properties
Total magnetic moment: 4.990 μB per formula unit

Unit cell a=4.6608 b=4.6608 c=3.2959 alpha=90.00 beta=90.00 gamma=90.00
Space group P4/mmm (No. 123)
One atom of each set of equivalent atoms:
Mn (0.0000, 0.0000, 0.0000)
Fe (0.5000, 0.5000, 0.0000)
Sb (0.0000, 0.5000, 0.5000)

<x>
MnFeSb2 | PBE | relaxed

## Properties
Total magnetic moment: 5.332 μB per formula unit

Unit cell a=3.4852 b=4.5317 c=9.2900 alpha=90.00 beta=90.00 gamma=90.00
Space group Imm2 (No. 44)
One atom of each set of equivalent atoms:
Mn (0.0000, 0.0000, 0.0000)
Fe (0.0000, 0.5000, 0.2797)
Sb (0.0000, 0.0000, 0.5370)
Sb (0.0000, 0.5000, 0.7581)

<y>
MnFeSb2 | PBE | relaxed

## Properties
Total magnetic moment: 4.919 μB per formula unit

Unit cell a=8.2731 b=3.2805 c=6.6180 alpha=90.00 beta=108.25 gamma=90.00
Space group Cm (No. 8)
One atom of each set of equivalent atoms:
Mn (0.0000, 0.0000, 0.0000)
Fe (0.2519, 0.5000, 0.1596)
Sb (0.0101, 0.5000, 0.3417)
Sb (0.2368, 0.0000, 0.8182)

Stability check: which of them is least stable? <x>.

<w>
MnFeSb2 | PBE | relaxed

## Properties
Total magnetic moment: 1.427 μB per formula unit

Unit cell a=7.3616 b=7.3616 c=6.2307 alpha=90.00 beta=90.00 gamma=90.00
Space group I-42d (No. 122)
One atom of each set of equivalent atoms:
Mn (0.0000, 0.0000, 0.0000)
Fe (0.0000, 0.0000, 0.5000)
Sb (0.2296, 0.2500, 0.6250)

<x>
MnFeSb2 | PBE | relaxed

## Properties
Total magnetic moment: 5.633 μB per formula unit

Unit cell a=6.7597 b=6.7597 c=6.7597 alpha=90.00 beta=90.00 gamma=90.00
Space group F-43m (No. 216)
One atom of each set of equivalent atoms:
Mn (0.0000, 0.0000, 0.0000)
Fe (0.2500, 0.2500, 0.7500)
Sb (0.0000, 0.0000, 0.5000)
Sb (0.2500, 0.2500, 0.2500)

Stability check: which of them is least stable? <x>.